# MgCuReBi

A relaxed MgCuReBi crystal (PBE, the Open Quantum Materials Database).

Geometry as extended XYZ:
```
4
Lattice="0.000 3.300 3.300 3.300 0.000 3.300 3.300 3.300 0.000" Properties=species:S:1:pos:R:3 pbc="T T T"
Bi 0.000 0.000 0.000
Cu 1.650 1.650 1.650
Re 4.951 4.951 4.951
Mg 3.300 3.300 3.300
```

mass density: 11.16 g/cm3
total DFT energy (no corrections): -4.745 eV/atom
magnetization: 0.002 μB per atom
space group: F-43m, No. 216

# Mg2Cu2BiSb

A relaxed Mg2Cu2BiSb crystal (PBE, the Open Quantum Materials Database).

Geometry as extended XYZ:
```
24
Lattice="10.958 0.000 0.000 0.000 4.466 0.000 -3.652 0.000 10.338" Properties=species:S:1:pos:R:3 pbc="T T T"
Cu 7.302 2.233 6.467
Cu 0.039 0.000 7.686
Cu -0.008 0.000 0.083
Cu 0.054 2.233 3.863
Cu 3.713 2.233 9.118
Cu 7.253 0.000 2.509
Cu 3.597 0.000 5.100
Cu 3.618 2.233 1.340
Sb 8.238 0.000 0.014
Sb 0.915 2.233 1.313
Sb 4.546 0.000 2.572
Sb 0.913 0.000 5.145
Mg 6.411 2.233 9.107
Mg 2.774 0.000 7.761
Mg 6.359 2.233 1.288
Mg -0.908 0.000 2.601
Mg -0.884 2.233 6.420
Mg 2.728 0.000 0.027
Mg 2.729 2.233 3.864
Mg 6.360 0.000 5.128
Bi 8.212 2.233 3.859
Bi -2.732 0.000 7.772
Bi 4.552 2.233 6.459
Bi 0.925 2.233 9.050
```

mass density: 6.65 g/cm3
total DFT energy (no corrections): -3.317 eV/atom
space group: Pm, No. 6

# MgTaCuBi

A relaxed MgTaCuBi crystal (PBE, the Open Quantum Materials Database).

Geometry as extended XYZ:
```
4
Lattice="0.000 3.415 3.415 3.415 0.000 3.415 3.415 3.415 0.000" Properties=species:S:1:pos:R:3 pbc="T T T"
Cu 1.708 1.708 1.708
Mg 3.415 3.415 3.415
Bi 0.000 0.000 0.000
Ta 5.123 5.123 5.123
```

mass density: 9.96 g/cm3
total DFT energy (no corrections): -4.620 eV/atom
magnetization: 0.228 μB per atom
space group: F-43m, No. 216